{
  "formula": "Zn4WSe",
  "functional": "PBE",
  "state": "relaxed",
  "lattice_angstrom": [[0.0000, 3.5849, 3.5849], [3.5849, 0.0000, 3.5849], [3.5849, 3.5849, 0.0000]],
  "species": ["Zn", "Zn", "Zn", "Zn", "W", "Se"],
  "fractional_positions": [[0.3768, 0.3768, 0.3768], [0.3768, 0.3768, 0.8695], [0.3768, 0.8695, 0.3768], [0.8695, 0.3768, 0.3768], [0.7500, 0.7500, 0.7500], [0.0000, 0.0000, 0.0000]],
  "raw_formation_energy_ev_per_atom": 0.450,
  "crystal_system": "cubic",
  "final_energy_ev_per_atom": -3.14
}

{
  "formula": "ZnWSe2",
  "functional": "PBE",
  "state": "relaxed",
  "lattice_angstrom": [[3.7189, 0.0000, 0.0000], [0.0000, 3.7170, 0.0000], [-0.0148, 0.0000, 5.8940]],
  "species": ["Zn", "W", "Se", "Se"],
  "fractional_positions": [[0.0000, 0.0000, 0.0000], [0.5001, 0.5000, 0.9999], [0.5006, 0.0000, 0.3110], [0.9989, 0.5000, 0.6889]],
  "raw_formation_energy_ev_per_atom": 0.199,
  "crystal_system": "monoclinic",
  "final_energy_ev_per_atom": -5.10
}

{
  "formula": "ZnWSe2",
  "functional": "PBE",
  "state": "relaxed",
  "lattice_angstrom": [[2.6880, 0.0000, 0.0000], [0.0000, 3.3378, 0.0000], [-0.0375, 0.0000, 9.7013]],
  "species": ["Zn", "W", "Se", "Se"],
  "fractional_positions": [[0.0000, 0.0000, 0.0000], [0.0000, 0.0000, 0.5000], [0.0030, 0.5000, 0.7019], [0.9970, 0.5000, 0.2981]],
  "raw_formation_energy_ev_per_atom": 0.252,
  "crystal_system": "monoclinic",
  "final_energy_ev_per_atom": -5.05
}

{
  "formula": "ZnWSe2",
  "functional": "PBE",
  "state": "relaxed",
  "lattice_angstrom": [[5.9671, 0.0000, 0.0000], [0.0000, 5.9671, 0.0000], [0.0000, 0.0000, 10.5635]],
  "species": ["Zn", "Zn", "Zn", "Zn", "W", "W", "W", "W", "Se", "Se", "Se", "Se", "Se", "Se", "Se", "Se"],
  "fractional_positions": [[0.0000, 0.0000, 0.0000], [0.0000, 0.5000, 0.2500], [0.5000, 0.0000, 0.7500], [0.5000, 0.5000, 0.5000], [0.0000, 0.0000, 0.5000], [0.0000, 0.5000, 0.7500], [0.5000, 0.0000, 0.2500], [0.5000, 0.5000, 0.0000], [0.2474, 0.2500, 0.6250], [0.2500, 0.7474, 0.8750], [0.2500, 0.7526, 0.3750], [0.2526, 0.2500, 0.1250], [0.7474, 0.7500, 0.1250], [0.7500, 0.2474, 0.3750], [0.7500, 0.2526, 0.8750], [0.7526, 0.7500, 0.6250]],
  "raw_formation_energy_ev_per_atom": 0.300,
  "crystal_system": "tetragonal",
  "final_energy_ev_per_atom": -5.00
}